Entry 1:
Material: BeTlP
Method: DFT, PBE-GGA
State: relaxed

Computed properties:
Relative energy among the computed polymorphs = 1.134 eV/atom
Space-group type = No. 216
Energy of formation = 1.000 eV per atom
Raw total energy = -2.83 eV/atom

a = 4.502 Å, b = 4.502 Å, c = 4.502 Å
α = 60.00°, β = 60.00°, γ = 60.00°
Sites, in units of the cell vectors:
Be: 0.000 0.000 0.000
Tl: 0.250 0.250 0.250
P: 0.500 0.500 0.500

Entry 2:
Material: BeTl3P
Method: DFT, PBE-GGA
State: relaxed

Computed properties:
Relative energy among the computed polymorphs = 0.000 eV/atom
Space-group type = No. 221
Energy of formation = 0.556 eV per atom
Raw total energy = -2.69 eV/atom

a = 4.989 Å, b = 4.989 Å, c = 4.989 Å
α = 90.00°, β = 90.00°, γ = 90.00°
Sites, in units of the cell vectors:
Be: 0.000 0.000 0.000
Tl: 0.000 0.000 0.500
Tl: 0.000 0.500 0.000
Tl: 0.500 0.000 0.000
P: 0.500 0.500 0.500

Entry 3:
Material: BeTlP
Method: DFT, PBE-GGA
State: relaxed

Computed properties:
Relative energy among the computed polymorphs = 0.051 eV/atom
Space-group type = No. 187
Energy of formation = -0.083 eV per atom
Raw total energy = -3.92 eV/atom

a = 3.697 Å, b = 3.697 Å, c = 5.145 Å
α = 90.00°, β = 90.00°, γ = 120.00°
Sites, in units of the cell vectors:
Be: 0.000 0.000 0.000
Tl: 0.667 0.333 0.500
P: 0.333 0.667 0.000

Entry 4:
Material: BeTlP
Method: DFT, PBE-GGA
State: relaxed

Computed properties:
Relative energy among the computed polymorphs = 0.000 eV/atom
Space-group type = No. 11
Energy of formation = -0.134 eV per atom
Raw total energy = -3.97 eV/atom

a = 3.673 Å, b = 3.673 Å, c = 9.457 Å
α = 90.00°, β = 90.05°, γ = 90.00°
Sites, in units of the cell vectors:
Be: 0.250 0.250 0.000
Be: 0.750 0.750 0.000
Tl: 0.249 0.750 0.683
Tl: 0.751 0.250 0.317
P: 0.251 0.750 0.134
P: 0.749 0.250 0.866

Entry 5:
Material: BeTlP
Method: DFT, PBE-GGA
State: relaxed

Computed properties:
Relative energy among the computed polymorphs = 0.449 eV/atom
Space-group type = No. 42
Energy of formation = 0.315 eV per atom
Raw total energy = -3.52 eV/atom

a = 6.749 Å, b = 6.512 Å, c = 3.283 Å
α = 79.71°, β = 71.70°, γ = 28.59°
Sites, in units of the cell vectors:
Be: 0.000 0.000 0.000
Tl: 0.283 0.283 0.717
P: 0.540 0.540 0.460

Entry 6:
Material: BeTlP
Method: DFT, PBE-GGA
State: relaxed

Computed properties:
Relative energy among the computed polymorphs = 0.437 eV/atom
Space-group type = No. 107
Energy of formation = 0.303 eV per atom
Raw total energy = -3.53 eV/atom

a = 6.268 Å, b = 6.268 Å, c = 6.268 Å
α = 150.41°, β = 150.41°, γ = 42.34°
Sites, in units of the cell vectors:
Be: 0.000 0.000 0.000
Tl: 0.241 0.241 0.000
P: 0.489 0.489 0.000

Entry 7:
Material: BeTlP
Method: DFT, PBE-GGA
State: relaxed

Computed properties:
Relative energy among the computed polymorphs = 0.603 eV/atom
Space-group type = No. 216
Energy of formation = 0.469 eV per atom
Raw total energy = -3.37 eV/atom

a = 4.322 Å, b = 4.322 Å, c = 4.322 Å
α = 60.00°, β = 60.00°, γ = 60.00°
Sites, in units of the cell vectors:
Be: 0.000 0.000 0.000
Tl: 0.250 0.250 0.250
P: 0.750 0.750 0.750

Entry 8:
Material: BeTlP
Method: DFT, PBE-GGA
State: relaxed

Computed properties:
Relative energy among the computed polymorphs = 0.085 eV/atom
Space-group type = No. 84
Energy of formation = -0.049 eV per atom
Raw total energy = -3.88 eV/atom

a = 8.473 Å, b = 8.473 Å, c = 3.678 Å
α = 90.00°, β = 90.00°, γ = 90.00°
Sites, in units of the cell vectors:
Be: 0.080 0.140 0.000
Be: 0.140 0.920 0.500
Be: 0.860 0.080 0.500
Be: 0.920 0.860 0.000
Tl: 0.210 0.588 0.000
Tl: 0.412 0.210 0.500
Tl: 0.588 0.790 0.500
Tl: 0.790 0.412 0.000
P: 0.039 0.263 0.500
P: 0.263 0.961 0.000
P: 0.737 0.039 0.000
P: 0.961 0.737 0.500

Entry 9:
Material: BeTl2PW
Method: DFT, PBE-GGA
State: relaxed

Computed properties:
Space-group type = No. 123
Energy of formation = 1.318 eV per atom
Raw total energy = -4.05 eV/atom

a = 5.541 Å, b = 5.541 Å, c = 3.752 Å
α = 90.00°, β = 90.00°, γ = 90.00°
Sites, in units of the cell vectors:
Be: 0.000 0.000 0.000
Tl: 0.000 0.500 0.500
Tl: 0.500 0.000 0.500
P: 0.000 0.000 0.500
W: 0.500 0.500 0.000

Entry 10:
Material: BeTlPW2
Method: DFT, PBE-GGA
State: relaxed

Computed properties:
Space-group type = No. 123
Energy of formation = 1.449 eV per atom
Raw total energy = -6.03 eV/atom

a = 4.422 Å, b = 4.422 Å, c = 4.291 Å
α = 90.00°, β = 90.00°, γ = 90.00°
Sites, in units of the cell vectors:
Be: 0.000 0.000 0.000
Tl: 0.000 0.000 0.500
P: 0.500 0.500 0.500
W: 0.000 0.500 0.000
W: 0.500 0.000 0.000

Entry 11:
Material: BeTlZnP2
Method: DFT, PBE-GGA
State: relaxed

Computed properties:
Space-group type = No. 123
Energy of formation = 0.459 eV per atom
Raw total energy = -3.18 eV/atom

a = 4.363 Å, b = 4.363 Å, c = 4.961 Å
α = 90.00°, β = 90.00°, γ = 90.00°
Sites, in units of the cell vectors:
Be: 0.000 0.000 0.000
Tl: 0.500 0.500 0.500
Zn: 0.000 0.000 0.500
P: 0.000 0.500 0.000
P: 0.500 0.000 0.000

Entry 12:
Material: TmBeP
Method: DFT, PBE-GGA
State: relaxed

Computed properties:
Space-group type = No. 187
Energy of formation = -0.982 eV per atom
Raw total energy = -5.52 eV/atom

a = 3.677 Å, b = 3.677 Å, c = 3.912 Å
α = 90.00°, β = 90.00°, γ = 120.00°
Sites, in units of the cell vectors:
Tm: 0.000 0.000 0.000
Be: 0.667 0.333 0.500
P: 0.333 0.667 0.500